Below is a relaxed CrInCoS4 crystal, with properties calculated at the GGA-PBE level.

extended XYZ file:
```
14
Lattice="-3.600 3.639 5.164 3.600 -3.639 5.164 3.600 3.639 -5.164" Properties=species:S:1:pos:R:3 pbc="T T T"
Cr 1.800 1.819 2.582
Cr -1.800 1.819 2.582
In 0.000 3.639 0.000
In 0.000 0.000 0.000
Co 0.000 1.819 6.456
Co 3.600 1.819 -1.292
S 1.752 1.819 5.010
S 3.600 3.492 2.536
S 1.848 1.819 0.153
S 0.000 0.147 2.627
S 5.352 1.819 0.153
S -1.752 1.819 5.010
S 0.000 3.492 2.627
S 3.600 0.147 2.536
```

**E**: -5.572 eV per atom
**Energy relative to the elements, uncorrected**: -3.0 eV/f.u.